# RhPb2Br

Crystalline RhPb2Br at its relaxed geometry (PBE-GGA, Alexandria via LeMat-Bulk).

* E_form (uncorrected): 0.0640 eV/atom
* final energy: -16.18 eV per cell

Geometry as CIF:
```
data_RhPb2Br
_symmetry_space_group_name_H-M 'P 4/m m m'
_symmetry_Int_Tables_number 123
_symmetry_space_group_name_Hall '-P 4 2'
_cell_length_a 5.390
_cell_length_b 5.390
_cell_length_c 3.314
_cell_angle_alpha 90.00
_cell_angle_beta 90.00
_cell_angle_gamma 90.00
loop_
_atom_site_label
_atom_site_fract_x
_atom_site_fract_y
_atom_site_fract_z
_atom_site_occupancy
Rh1 0.000 0.000 0.000 1
Pb1 0.000 0.500 0.500 1
Br1 0.500 0.500 0.000 1
```